DFT (PBE with a Hubbard U) results for a relaxed FeAg2TeO6 crystal.

abc: 5.5586 5.5404 7.7388
angles: 90.00 89.96 90.00
Last column: magnetic moment on the atom in μB.
Sites, in units of the cell vectors:
Fe 0.5000 0.0000 0.0000  4.32
O 0.5504 0.0180 0.2526  0.11
Ag 0.0024 0.0084 0.7495  0.23
O 0.9496 0.5180 0.2474  0.11
O 0.3289 0.6885 0.4776  0.18
O 0.3109 0.6728 0.0223  0.18
Ag 0.9976 0.9916 0.2505  0.23
O 0.4496 0.9820 0.7474  0.11
O 0.1711 0.1885 0.0224  0.18
O 0.0504 0.4820 0.7526  0.11
Fe 0.0000 0.5000 0.5000  4.32
O 0.8289 0.8115 0.9776  0.18
O 0.6711 0.3115 0.5224  0.18
O 0.1891 0.1728 0.4777  0.18
Te 0.5000 0.0000 0.5000  0.03
Te 0.0000 0.5000 0.0000  0.03
O 0.6891 0.3272 0.9777  0.18
Ag 0.5024 0.4916 0.2495  0.23
Ag 0.4976 0.5084 0.7505  0.23
O 0.8109 0.8272 0.5223  0.18

Summary:
Size of the total moment (μB per formula unit): 5.9
VASP energy (eV/atom): -5.12